Record 1
Here is crystalline SrTaFe2 at its relaxed geometry from Alexandria via LeMat-Bulk. Energies are from PBE-GGA.

Calculated formation energy: 0.754 eV per atom
Magnetic moment: 0.838 μB/atom

Cell lengths 4.8940, 4.8940, 2.9854 Å; angles 90.00, 90.00, 90.00 degrees
Space group P4/mmm (No. 123)
Asymmetric unit:
Sr1 0.0000 0.0000 0.0000 x1
Ta1 0.5000 0.5000 0.0000 x1
Fe1 0.0000 0.5000 0.5000 x2

***

Record 2
Here is crystalline IrRhS2N at its relaxed geometry from Alexandria via LeMat-Bulk. Energies are from PBE-GGA.

E_form (uncorrected): 810 meV per atom
Magnetic moment: 0.000 μB/atom

Cell lengths 4.8069, 4.8069, 3.6031 Å; angles 90.00, 90.00, 90.00 degrees
Space group P4/mmm (No. 123)
Asymmetric unit:
Ir1 0.0000 0.0000 0.0000 x1
Rh1 0.5000 0.5000 0.5000 x1
S1 0.0000 0.5000 0.0000 x2
N1 0.0000 0.0000 0.5000 x1

***

What did the first record say?
Here is crystalline SrTaFe2 at its relaxed geometry from Alexandria via LeMat-Bulk. Energies are from PBE-GGA.

Calculated formation energy: 0.754 eV per atom
Magnetic moment: 0.838 μB/atom

Cell lengths 4.8940, 4.8940, 2.9854 Å; angles 90.00, 90.00, 90.00 degrees
Space group P4/mmm (No. 123)
Asymmetric unit:
Sr1 0.0000 0.0000 0.0000 x1
Ta1 0.5000 0.5000 0.0000 x1
Fe1 0.0000 0.5000 0.5000 x2

***

Which of these has the highest magnetic moment?
SrTaFe2

***

magnetic moment of number 2 (IrRhS2N)?
0.000 μB/atom

***

Copy entry 1 word for word.
Here is crystalline SrTaFe2 at its relaxed geometry from Alexandria via LeMat-Bulk. Energies are from PBE-GGA.

Calculated formation energy: 0.754 eV per atom
Magnetic moment: 0.838 μB/atom

Cell lengths 4.8940, 4.8940, 2.9854 Å; angles 90.00, 90.00, 90.00 degrees
Space group P4/mmm (No. 123)
Asymmetric unit:
Sr1 0.0000 0.0000 0.0000 x1
Ta1 0.5000 0.5000 0.0000 x1
Fe1 0.0000 0.5000 0.5000 x2